[1]
Here is crystalline PuTh3C at its relaxed geometry from Alexandria via LeMat-Bulk. Energies are from PBE.

```
PuTh3C
1.0
5.119 0.000 0.000
0.000 5.119 0.000
0.000 0.000 5.119
Pu Th C
1 3 1
direct
0.000 0.000 0.000
0.000 0.500 0.500
0.500 0.000 0.500
0.500 0.500 0.000
0.500 0.500 0.500
```

Volume ... 134 Å³/f.u.
Magnetic moment ... 1.290 μB per atom
Formation energy ... 0.00 eV/atom

---

[2]
Here is crystalline PuThC2 at its relaxed geometry from Alexandria via LeMat-Bulk. Energies are from PBE.

```
PuThC2
1.0
1.835 1.060 5.863
-1.835 1.060 5.863
0.000 -2.119 5.863
Pu Th C
1 1 2
direct
0.000 0.000 0.000
0.500 0.500 0.500
0.258 0.258 0.258
0.742 0.742 0.742
```

Relative energy among the computed polymorphs ... 0.0000 eV per atom
Volume ... 68 Å³/f.u.
Magnetic moment ... 1.024 μB per atom
Formation energy ... -0.05 eV/atom

---

[3]
Here is crystalline PuTh3C3 at its relaxed geometry from Alexandria via LeMat-Bulk. Energies are from PBE.

```
PuTh3C3
1.0
5.212 0.000 0.000
0.000 5.212 0.000
0.000 0.000 5.212
Pu Th C
1 3 3
direct
0.000 0.000 0.000
0.000 0.500 0.500
0.500 0.000 0.500
0.500 0.500 0.000
0.000 0.000 0.500
0.000 0.500 0.000
0.500 0.000 0.000
```

Relative energy among the computed polymorphs ... 0.0482 eV per atom
Volume ... 142 Å³/f.u.
Magnetic moment ... 0.670 μB per atom
Formation energy ... -0.12 eV/atom

---

[4]
Here is crystalline PuTh2C at its relaxed geometry from Alexandria via LeMat-Bulk. Energies are from PBE.

```
PuTh2C
1.0
1.778 1.027 9.529
-1.778 1.027 9.529
0.000 -2.053 9.529
Pu Th C
1 2 1
direct
0.000 0.000 0.000
0.114 0.114 0.114
0.886 0.886 0.886
0.500 0.500 0.500
```

Volume ... 104 Å³/f.u.
Magnetic moment ... 1.484 μB per atom
Formation energy ... 0.09 eV/atom

---

[5]
Here is crystalline PuTh3C2 at its relaxed geometry from Alexandria via LeMat-Bulk. Energies are from PBE.

```
PuTh3C2
1.0
8.160 -1.803 0.000
8.160 1.803 0.000
-7.651 0.000 9.702
Pu Th C
2 6 4
direct
0.146 0.146 0.207
0.854 0.854 0.793
0.130 0.130 0.694
0.363 0.363 0.044
0.366 0.366 0.561
0.634 0.634 0.439
0.637 0.637 0.956
0.870 0.870 0.306
0.245 0.245 0.623
0.254 0.254 0.128
0.746 0.746 0.872
0.755 0.755 0.377
```

Volume ... 143 Å³/f.u.
Magnetic moment ... 0.948 μB per atom
Formation energy ... -0.13 eV/atom

---

[6]
Here is crystalline PuTh4C4 at its relaxed geometry from Alexandria via LeMat-Bulk. Energies are from PBE.

```
PuTh4C4
1.0
-2.935 2.935 5.789
2.935 -2.935 5.789
2.935 2.935 -5.789
Pu Th C
1 4 4
direct
0.000 0.000 0.000
0.000 0.500 0.500
0.268 0.268 0.000
0.500 0.000 0.500
0.732 0.732 0.000
0.120 0.629 0.000
0.371 0.371 0.491
0.629 0.120 0.000
0.880 0.880 0.509
```

Relative energy among the computed polymorphs ... 0.3445 eV per atom
Volume ... 199 Å³/f.u.
Magnetic moment ... 0.803 μB per atom
Formation energy ... 0.16 eV/atom

---

[7]
Here is crystalline PuThC at its relaxed geometry from Alexandria via LeMat-Bulk. Energies are from PBE.

```
PuThC
1.0
-1.598 1.598 6.117
1.598 -1.598 6.117
1.598 1.598 -6.117
Pu Th C
1 1 1
direct
0.000 0.000 0.000
0.768 0.768 0.000
0.384 0.384 0.000
```

Relative energy among the computed polymorphs ... 0.3571 eV per atom
Volume ... 63 Å³/f.u.
Magnetic moment ... 1.880 μB per atom
Formation energy ... 0.31 eV/atom

---

[8]
Here is crystalline Pu2ThC2 at its relaxed geometry from Alexandria via LeMat-Bulk. Energies are from PBE.

```
Pu2ThC2
1.0
1.745 1.008 7.491
-1.745 1.008 7.491
0.000 -2.015 7.491
Pu Th C
2 1 2
direct
0.197 0.197 0.197
0.803 0.803 0.803
0.000 0.000 0.000
0.408 0.408 0.408
0.592 0.592 0.592
```

Volume ... 79 Å³/f.u.
Magnetic moment ... 0.000 μB per atom
Formation energy ... -0.13 eV/atom